Compound: Li4VAs2O9
Source: the Alexandria database
Functional: PBE+U
Structure: optimized geometry

## Properties
Magnetic moment in μB per cell: 4.0
VASP energy in eV per atom: -6.100

a = 8.993 Å, b = 8.993 Å, c = 9.678 Å
α = 90.00°, β = 90.00°, γ = 90.00°
Atoms (fractional coordinates):
Li  0.123  0.652  0.094
Li  0.123  0.848  0.594
Li  0.152  0.623  0.406
Li  0.152  0.877  0.906
Li  0.348  0.623  0.906
Li  0.348  0.877  0.406
Li  0.377  0.652  0.594
Li  0.377  0.848  0.094
Li  0.623  0.152  0.906
Li  0.623  0.348  0.406
Li  0.652  0.123  0.594
Li  0.652  0.377  0.094
Li  0.848  0.123  0.094
Li  0.848  0.377  0.594
Li  0.877  0.152  0.406
Li  0.877  0.348  0.906
V  0.250  0.250  0.333
V  0.250  0.250  0.833
V  0.750  0.750  0.167
V  0.750  0.750  0.667
As  0.061  0.561  0.750
As  0.061  0.939  0.250
As  0.439  0.561  0.250
As  0.439  0.939  0.750
As  0.561  0.061  0.250
As  0.561  0.439  0.750
As  0.939  0.061  0.750
As  0.939  0.439  0.250
O  0.067  0.130  0.283
O  0.067  0.370  0.783
O  0.123  0.653  0.892
O  0.123  0.847  0.392
O  0.130  0.067  0.783
O  0.130  0.433  0.283
O  0.153  0.623  0.608
O  0.153  0.877  0.108
O  0.250  0.250  0.002
O  0.250  0.250  0.502
O  0.347  0.623  0.108
O  0.347  0.877  0.608
O  0.370  0.067  0.283
O  0.370  0.433  0.783
O  0.377  0.653  0.392
O  0.377  0.847  0.892
O  0.433  0.130  0.783
O  0.433  0.370  0.283
O  0.567  0.630  0.717
O  0.567  0.870  0.217
O  0.623  0.153  0.108
O  0.623  0.347  0.608
O  0.630  0.567  0.217
O  0.630  0.933  0.717
O  0.653  0.123  0.392
O  0.653  0.377  0.892
O  0.750  0.750  0.498
O  0.750  0.750  0.998
O  0.847  0.123  0.892
O  0.847  0.377  0.392
O  0.870  0.567  0.717
O  0.870  0.933  0.217
O  0.877  0.153  0.608
O  0.877  0.347  0.108
O  0.933  0.630  0.217
O  0.933  0.870  0.717

Compound: LiVAs2O
Source: the Alexandria database
Functional: PBE+U
Structure: optimized geometry

## Properties
Magnetic moment in μB per cell: 0.9
VASP energy in eV per atom: -4.714

a = 4.778 Å, b = 4.778 Å, c = 3.744 Å
α = 90.00°, β = 90.00°, γ = 90.00°
Atoms (fractional coordinates):
Li  0.000  0.000  0.000
V  0.500  0.500  0.000
As  0.000  0.500  0.500
As  0.500  0.000  0.500
O  0.500  0.500  0.500

Compound: LiVAsO5
Source: the Alexandria database
Functional: PBE+U
Structure: optimized geometry

## Properties
Magnetic moment in μB per cell: 4.0
VASP energy in eV per atom: -6.591

a = 7.536 Å, b = 6.597 Å, c = 7.651 Å
α = 90.00°, β = 90.00°, γ = 90.00°
Atoms (fractional coordinates):
Li  0.000  0.000  0.000
Li  0.000  0.500  0.000
Li  0.500  0.000  0.500
Li  0.500  0.500  0.500
V  0.167  0.250  0.273
V  0.333  0.750  0.773
V  0.667  0.250  0.227
V  0.833  0.750  0.727
As  0.125  0.750  0.375
As  0.375  0.250  0.875
As  0.625  0.750  0.125
As  0.875  0.250  0.625
O  0.066  0.250  0.507
O  0.114  0.750  0.824
O  0.128  0.546  0.236
O  0.128  0.954  0.236
O  0.185  0.250  0.002
O  0.315  0.750  0.502
O  0.372  0.046  0.736
O  0.372  0.454  0.736
O  0.386  0.250  0.324
O  0.434  0.750  0.007
O  0.566  0.250  0.993
O  0.614  0.750  0.676
O  0.628  0.546  0.264
O  0.628  0.954  0.264
O  0.685  0.250  0.498
O  0.815  0.750  0.998
O  0.872  0.046  0.764
O  0.872  0.454  0.764
O  0.886  0.250  0.176
O  0.934  0.750  0.493

Compound: LiV2AsO6
Source: the Alexandria database
Functional: PBE+U
Structure: optimized geometry

## Properties
Magnetic moment in μB per cell: 2.0
VASP energy in eV per atom: -6.926

a = 5.232 Å, b = 5.232 Å, c = 5.625 Å
α = 111.53°, β = 111.53°, γ = 86.13°
Atoms (fractional coordinates):
Li  0.000  0.000  0.000
V  0.377  0.890  0.600
V  0.890  0.377  0.600
As  0.503  0.503  0.925
O  0.206  0.206  0.805
O  0.208  0.638  0.705
O  0.221  0.797  0.261
O  0.638  0.208  0.705
O  0.697  0.697  0.743
O  0.797  0.221  0.261

Compound: LiVAs2O8
Source: the Alexandria database
Functional: PBE+U
Structure: optimized geometry

## Properties
Magnetic moment in μB per cell: 0.0
VASP energy in eV per atom: -6.110

a = 5.529 Å, b = 5.529 Å, c = 5.529 Å
α = 107.30°, β = 107.30°, γ = 113.91°
Atoms (fractional coordinates):
Li  0.000  0.000  0.000
V  0.250  0.750  0.500
As  0.500  0.500  0.000
As  0.750  0.250  0.500
O  0.317  0.116  0.799
O  0.317  0.518  0.201
O  0.362  0.047  0.314
O  0.482  0.683  0.799
O  0.733  0.047  0.686
O  0.884  0.683  0.201
O  0.953  0.267  0.314
O  0.953  0.638  0.686

Compound: Li2VAsO
Source: the Alexandria database
Functional: PBE+U
Structure: optimized geometry

## Properties
Magnetic moment in μB per cell: 2.0
VASP energy in eV per atom: -5.234

a = 3.926 Å, b = 3.926 Å, c = 4.069 Å
α = 90.00°, β = 90.00°, γ = 90.00°
Atoms (fractional coordinates):
Li  0.000  0.500  0.000
Li  0.500  0.000  0.000
V  0.000  0.000  0.500
As  0.500  0.500  0.500
O  0.000  0.000  0.000

Compound: Li2AsWO6
Source: the Alexandria database
Functional: PBE+U
Structure: optimized geometry

## Properties
Magnetic moment in μB per cell: 0.0
VASP energy in eV per atom: -6.177

a = 5.537 Å, b = 5.537 Å, c = 3.970 Å
α = 90.00°, β = 90.00°, γ = 90.00°
Atoms (fractional coordinates):
Li  0.000  0.500  0.000
Li  0.500  0.000  0.000
As  0.000  0.000  0.729
W  0.500  0.500  0.732
O  0.000  0.000  0.286
O  0.256  0.256  0.808
O  0.256  0.744  0.808
O  0.500  0.500  0.275
O  0.744  0.256  0.808
O  0.744  0.744  0.808

Compound: LiAsWO6
Source: the Alexandria database
Functional: PBE+U
Structure: optimized geometry

## Properties
Magnetic moment in μB per cell: 0.0
VASP energy in eV per atom: -6.477

a = 5.070 Å, b = 5.070 Å, c = 9.583 Å
α = 90.00°, β = 90.00°, γ = 120.00°
Atoms (fractional coordinates):
Li  0.000  0.000  0.000
Li  0.000  0.000  0.500
As  0.333  0.667  0.250
As  0.667  0.333  0.750
W  0.333  0.667  0.750
W  0.667  0.333  0.250
O  0.013  0.378  0.141
O  0.013  0.635  0.359
O  0.365  0.378  0.359
O  0.365  0.987  0.141
O  0.378  0.013  0.641
O  0.378  0.365  0.859
O  0.622  0.635  0.141
O  0.622  0.987  0.359
O  0.635  0.013  0.859
O  0.635  0.622  0.641
O  0.987  0.365  0.641
O  0.987  0.622  0.859

Question: Which of these has the lowest VASP energy?
Answer: LiV2AsO6